# 1
Computed, not measured: an optimized crystal structure of PPt2Au at the PBE level of DFT.

Properties
- DFT formation energy: -0.099 eV per atom
- Density: 15.1 g/cm3
- Final energy: -5.291 eV/atom
- Symmetry: Imm2

Unit cell a=6.3907 b=6.3907 c=6.3907 alpha=150.62 beta=147.74 gamma=44.19
Closest atoms and distances in Å follow each position.
Fractional coordinates of all 4 atoms:
P: 0.0000 0.0000 0.0000  6 Pt 2.34-2.47
Pt: 0.5493 0.5493 0.0000  4 P 2.47
Pt: 0.8579 0.3579 0.5000  2 P 2.34
Au: 0.2309 0.7309 0.5000  6 Pt 2.79-2.84

---

# 2
Computed, not measured: an optimized crystal structure of RbPPtAu at the PBE level of DFT.

Properties
- DFT formation energy: -0.339 eV per atom
- Density: 8.0 g/cm3
- Final energy: -4.263 eV/atom
- Symmetry: P4/nmm

Unit cell a=4.1580 b=4.1580 c=12.2096 alpha=90.00 beta=90.00 gamma=90.00
Closest atoms and distances in Å follow each position.
Fractional coordinates of all 8 atoms:
Rb: 0.2500 0.2500 0.2336  4 Au 3.53, 4 P 3.59, 4 Pt 3.86
Rb: 0.7500 0.7500 0.7664  4 Au 3.53, 4 P 3.59, 4 Pt 3.86
P: 0.2500 0.2500 0.5973  4 Pt 2.39
P: 0.7500 0.7500 0.4027  4 Pt 2.39
Pt: 0.2500 0.7500 0.5000  4 P 2.39
Pt: 0.7500 0.2500 0.5000  4 P 2.39
Au: 0.2500 0.7500 0.0000  4 Au 2.94
Au: 0.7500 0.2500 0.0000  4 Au 2.94